(1)
Entry from Alexandria: an optimized crystal structure of Dy2NpTc2C4 (PBE).

## Properties
The calculation puts the total energy at -79.537 eV for the cell shown.

a = 6.717 Å, b = 6.717 Å, c = 6.093 Å
α = 107.70°, β = 107.70°, γ = 29.30°
Sites, in units of the cell vectors:
Dy (0.135, 0.135, 0.036)
Dy (0.865, 0.865, 0.964)
Np (0.000, 0.000, 0.500)
Tc (0.324, 0.324, 0.502)
Tc (0.676, 0.676, 0.498)
C (0.229, 0.229, 0.731)
C (0.475, 0.475, 0.756)
C (0.525, 0.525, 0.244)
C (0.771, 0.771, 0.269)

=====

(2)
Entry from Alexandria: an optimized crystal structure of AcHo2Sc (PBE).

## Properties
The energy above the most stable polymorph in this dataset comes out at 96 meV per atom.

a = 5.701 Å, b = 5.701 Å, c = 5.701 Å
α = 60.00°, β = 60.00°, γ = 60.00°
Sites, in units of the cell vectors:
Ac (0.000, 0.000, 0.000)
Ho (0.250, 0.250, 0.250)
Ho (0.750, 0.750, 0.750)
Sc (0.500, 0.500, 0.500)

=====

(3)
Entry from Alexandria: an optimized crystal structure of RbTl2GeAu (PBE).

## Properties
The calculation puts the total energy at -13.387 eV for the cell shown.

a = 5.707 Å, b = 5.707 Å, c = 5.170 Å
α = 90.00°, β = 90.00°, γ = 90.00°
Sites, in units of the cell vectors:
Rb (0.000, 0.000, 0.000)
Tl (0.000, 0.500, 0.500)
Tl (0.500, 0.000, 0.500)
Ge (0.500, 0.500, 0.500)
Au (0.500, 0.500, 0.000)

=====

(4)
Entry from Alexandria: an optimized crystal structure of La2MgZr (PBE).

## Properties
The calculation puts the total energy at -19.516 eV for the cell shown.

a = 6.013 Å, b = 6.013 Å, c = 6.013 Å
α = 132.62°, β = 132.62°, γ = 69.25°
Sites, in units of the cell vectors:
La (0.000, 0.000, 0.000)
La (0.750, 0.250, 0.500)
Mg (0.250, 0.750, 0.500)
Zr (0.500, 0.500, 0.000)

=====

(5)
Entry from Alexandria: an optimized crystal structure of BeZnTc2 (PBE).

## Properties
The energy above the most stable polymorph in this dataset comes out at 54 meV per atom.

a = 4.202 Å, b = 4.202 Å, c = 4.202 Å
α = 60.00°, β = 60.00°, γ = 60.00°
Sites, in units of the cell vectors:
Be (0.000, 0.000, 0.000)
Zn (0.750, 0.750, 0.750)
Tc (0.250, 0.250, 0.250)
Tc (0.500, 0.500, 0.500)

=====

(6)
Entry from Alexandria: an optimized crystal structure of CeNdZnBi (PBE).

## Properties
The calculation puts the total energy at -17.460 eV for the cell shown.

a = 5.419 Å, b = 5.419 Å, c = 5.419 Å
α = 60.00°, β = 60.00°, γ = 60.00°
Sites, in units of the cell vectors:
Ce (0.000, 0.000, 0.000)
Nd (0.500, 0.500, 0.500)
Zn (0.750, 0.750, 0.750)
Bi (0.250, 0.250, 0.250)